The following is a DFT calculation (PBE) of a relaxed structure of Pm3SmNi.

Geometry as POSCAR:
```
Pm3SmNi
1.0
9.3649 0.0000 0.0000
0.0000 6.3430 0.0000
-1.4911 0.0000 10.0309
Pm Sm Ni
12 4 4
Cartesian
0.0800 0.8407 1.5973
-0.6656 2.3308 6.6127
2.0569 3.8350 0.9821
1.3114 5.6795 5.9975
1.6201 0.6684 9.5310
2.3656 2.5031 4.5156
5.5081 3.8398 5.5153
6.2537 5.6746 0.4999
6.5624 0.6635 4.0334
5.8168 2.5080 9.0488
8.5394 4.0122 3.4182
7.7938 5.5023 8.4336
2.6683 3.5751 8.2051
3.4139 5.9394 3.1897
4.4599 0.4036 6.8412
5.2055 2.7679 1.8258
-0.0441 0.9291 4.2748
-0.7897 2.2424 9.2902
8.6635 4.1005 0.7406
7.9179 5.4139 5.7561
```

Total energy   -5.01 eV/atom
Energy of formation from the pure elements   -0.058 eV/atom
Energy relative to the lowest polymorph listed for this composition   0.069 eV per atom
Density of states at the Fermi level   1.2699 states/eV/atom



The following is a DFT calculation (PBE) of a relaxed structure of PmSmNi.

Geometry as POSCAR:
```
PmSmNi
1.0
-1.7451 1.7451 6.3812
1.7451 -1.7451 6.3812
1.7451 1.7451 -6.3812
Pm Sm Ni
1 1 1
Cartesian
0.0000 0.0000 0.0000
0.0000 0.0000 9.4535
0.0000 0.0000 4.7000
```

Total energy   -5.24 eV/atom
Energy of formation from the pure elements   -0.154 eV/atom
Energy relative to the lowest polymorph listed for this composition   0.063 eV per atom
Density of states at the Fermi level   1.2289 states/eV/atom



The following is a DFT calculation (PBE) of a relaxed structure of PmSm3Ni2.

Geometry as POSCAR:
```
PmSm3Ni2
1.0
8.2302 -1.9707 0.0000
8.2302 1.9707 0.0000
-6.5213 0.0000 9.7288
Pm Sm Ni
2 6 4
Cartesian
0.9183 0.0000 2.4103
9.0208 0.0000 7.3185
-2.3329 0.0000 7.2798
6.4883 0.0000 0.5754
3.2401 0.0000 5.4303
6.6991 0.0000 4.2985
3.4508 0.0000 9.1534
12.2720 0.0000 2.4490
3.5055 0.0000 0.4711
0.2415 0.0000 5.3389
9.6976 0.0000 4.3898
6.4336 0.0000 9.2577
```

Total energy   -5.31 eV/atom
Energy of formation from the pure elements   -0.231 eV/atom
Density of states at the Fermi level   1.2434 states/eV/atom



The following is a DFT calculation (PBE) of a relaxed structure of Pm4SmNi2.

Geometry as POSCAR:
```
Pm4SmNi2
1.0
6.9248 0.0000 0.0000
0.0000 6.7722 0.0000
-3.4469 0.0000 8.3717
Pm Sm Ni
8 2 4
Cartesian
1.2028 1.6930 0.0063
0.0087 6.7716 3.7053
0.0087 3.3867 3.7053
-0.9641 5.0791 6.6798
4.4420 1.6930 1.6919
3.4692 0.0006 4.6664
3.4692 3.3855 4.6664
2.2751 5.0791 8.3654
2.5026 5.0791 1.7040
0.9754 1.6930 6.6677
-1.4333 1.6930 5.5755
2.0284 1.6930 2.8000
1.4495 5.0791 5.5717
4.9112 5.0791 2.7962
```

Total energy   -5.18 eV/atom
Energy of formation from the pure elements   -0.135 eV/atom
Density of states at the Fermi level   1.1820 states/eV/atom



The following is a DFT calculation (PBE) of a relaxed structure of PmNi2Sn4.

Geometry as POSCAR:
```
PmNi2Sn4
1.0
19.0571 0.0000 0.0000
0.0000 4.3658 0.0000
0.0000 0.0000 7.1832
Pm Ni Sn
4 8 16
Cartesian
2.6615 1.0914 0.2092
6.8670 3.2743 3.8008
12.1901 1.0914 3.3824
16.3956 3.2743 6.9740
0.7050 3.2743 5.3979
4.0086 1.0914 3.5564
5.5200 3.2743 7.1480
8.8236 1.0914 1.8063
10.2335 3.2743 5.3769
13.5372 1.0914 0.0352
15.0485 3.2743 3.6268
18.3522 1.0914 1.7853
0.4937 3.2743 0.9835
1.2990 1.0914 3.6439
3.3797 3.2743 5.1246
3.8997 3.2743 2.1212
5.6288 1.0914 5.7128
6.1489 1.0914 1.5330
8.2295 3.2743 0.0523
9.0349 1.0914 4.5751
10.0222 3.2743 2.6081
10.8276 1.0914 7.1309
12.9083 3.2743 5.6502
13.4283 3.2743 1.4704
15.1574 1.0914 5.0620
15.6774 1.0914 2.0586
17.7581 3.2743 3.5393
18.5635 1.0914 6.1997
```

Total energy   -4.99 eV/atom
Energy of formation from the pure elements   -0.376 eV/atom
Energy relative to the lowest polymorph listed for this composition   0.000 eV per atom
Density of states at the Fermi level   0.5006 states/eV/atom



The following is a DFT calculation (PBE) of a relaxed structure of Pm3NiSn3.

Geometry as POSCAR:
```
Pm3NiSn3
1.0
5.6952 -2.2755 0.0000
5.6952 2.2755 0.0000
-5.1884 0.0000 14.2172
Pm Ni Sn
6 2 6
Cartesian
-1.7048 0.0000 5.4521
-3.6967 0.0000 13.0670
1.5901 0.0000 3.3342
4.6120 0.0000 10.8831
9.8988 0.0000 1.1503
7.9069 0.0000 8.7652
-0.2402 0.0000 8.6391
6.4423 0.0000 5.5781
1.5575 0.0000 6.5443
-0.5740 0.0000 13.1317
1.3105 0.0000 10.7826
4.8916 0.0000 3.4347
6.7761 0.0000 1.0855
4.6446 0.0000 7.6729
```

Total energy   -5.29 eV/atom
Energy of formation from the pure elements   -0.709 eV/atom
Density of states at the Fermi level   0.8294 states/eV/atom



The following is a DFT calculation (PBE) of a relaxed structure of Pm2Ni3Sn2.

Geometry as POSCAR:
```
Pm2Ni3Sn2
1.0
-4.2267 4.2267 4.2267
4.2267 -4.2267 4.2267
4.2267 4.2267 -4.2267
Pm Ni Sn
4 6 4
Cartesian
4.2310 -0.0043 0.0043
0.0043 4.2310 -0.0043
-0.0043 0.0043 4.2310
4.2224 4.2224 4.2224
4.2267 2.1133 -1.7824
2.1133 1.7824 0.0000
1.7824 0.0000 2.1133
2.1133 -1.7824 4.2267
0.0000 2.1133 1.7824
-1.7824 4.2267 2.1133
6.0305 -1.8038 1.8038
1.8038 6.0305 -1.8038
2.4228 2.4228 2.4228
-1.8038 1.8038 6.0305
```

Total energy   -5.36 eV/atom
Energy of formation from the pure elements   -0.378 eV/atom
Density of states at the Fermi level   0.7366 states/eV/atom



The following is a DFT calculation (PBE) of a relaxed structure of Pm2Ni15Sn2.

Geometry as POSCAR:
```
Pm2Ni15Sn2
1.0
4.2638 2.4617 4.1783
-4.2638 2.4617 4.1783
0.0000 -4.9234 4.1783
Pm Ni Sn
2 15 2
Cartesian
0.0000 0.0000 1.8068
0.0000 0.0000 10.7282
-2.1319 -1.2309 4.1783
0.0000 -2.4852 4.0347
-2.1523 1.2426 4.0347
-1.2882 -2.2312 6.2675
-2.5764 0.0000 6.2675
-2.1523 -1.2426 8.5003
-2.1319 1.2309 8.3567
1.2882 -2.2312 6.2675
0.0000 2.4617 4.1783
-1.2882 2.2312 6.2675
2.1522 1.2426 4.0347
2.5764 0.0000 6.2675
1.2882 2.2312 6.2675
2.1522 -1.2426 8.5003
0.0000 2.4852 8.5003
0.0000 0.0000 4.8900
0.0000 0.0000 7.6450
```

Total energy   -5.66 eV/atom
Energy of formation from the pure elements   -0.171 eV/atom
Density of states at the Fermi level   1.3695 states/eV/atom



The following is a DFT calculation (PBE) of a relaxed structure of PmNi2Sn7.

Geometry as POSCAR:
```
PmNi2Sn7
1.0
4.2821 -6.7385 0.0000
4.2821 6.7385 0.0000
0.0000 0.0000 4.6274
Pm Ni Sn
1 2 7
Cartesian
0.0000 0.0000 0.0000
4.2821 2.4702 2.3137
4.2821 -2.4702 2.3137
1.7163 1.8597 2.3137
4.2821 3.4313 0.0000
1.7163 -1.8597 2.3137
4.2821 0.0000 2.3137
6.8480 1.8597 2.3137
4.2821 -3.4313 0.0000
6.8480 -1.8597 2.3137
```

Total energy   -4.52 eV/atom
Energy of formation from the pure elements   -0.090 eV/atom
Density of states at the Fermi level   0.5953 states/eV/atom



The following is a DFT calculation (PBE) of a relaxed structure of Pm2Ni2Sn3.

Geometry as POSCAR:
```
Pm2Ni2Sn3
1.0
2.2478 -9.7376 0.0000
2.2478 9.7376 0.0000
0.0000 0.0000 7.1776
Pm Ni Sn
4 4 6
Cartesian
2.2478 8.9462 5.3832
2.2478 6.5296 1.7944
2.2478 -6.5296 5.3832
2.2478 -8.9462 1.7944
2.2478 3.9861 0.3859
2.2478 3.9861 3.2029
2.2478 -3.9861 3.9747
2.2478 -3.9861 6.7916
2.2478 5.5348 5.3832
2.2478 1.4391 3.9265
2.2478 1.4391 6.8398
2.2478 -1.4391 0.3378
2.2478 -1.4391 3.2510
2.2478 -5.5348 1.7944
```

Total energy   -5.29 eV/atom
Energy of formation from the pure elements   -0.570 eV/atom
Energy relative to the lowest polymorph listed for this composition   0.000 eV per atom
Density of states at the Fermi level   0.5520 states/eV/atom



The following is a DFT calculation (PBE) of a relaxed structure of PmNi4Sn4.

Geometry as POSCAR:
```
PmNi4Sn4
1.0
6.3693 0.0000 0.0000
0.0000 6.3693 0.0000
0.0000 0.0000 8.4966
Pm Ni Sn
2 8 8
Cartesian
1.5923 4.7770 2.1241
4.7770 1.5923 6.3724
0.3581 1.5923 0.8247
1.5923 0.3581 5.0730
1.5923 2.8266 5.0730
2.8266 1.5923 0.8247
3.5427 4.7770 7.6718
4.7770 3.5427 3.4235
4.7770 6.0112 3.4235
6.0112 4.7770 7.6718
0.0640 1.5923 3.3649
1.5923 0.0640 7.6131
1.5923 3.1207 7.6131
3.1207 1.5923 3.3649
3.2486 4.7770 5.1317
4.7770 3.2486 0.8834
4.7770 6.3053 0.8834
6.3053 4.7770 5.1317
```

Total energy   -5.16 eV/atom
Energy of formation from the pure elements   -0.288 eV/atom
Density of states at the Fermi level   0.6153 states/eV/atom



The following is a DFT calculation (PBE) of a relaxed structure of Pm2Ni4Sn3.

Geometry as POSCAR:
```
Pm2Ni4Sn3
1.0
3.0481 -8.0374 0.0000
3.0481 8.0374 0.0000
0.0000 0.0000 6.9761
Pm Ni Sn
4 8 6
Cartesian
3.0481 6.3741 6.4053
3.0481 1.6632 2.9173
3.0481 -1.6632 4.0588
3.0481 -6.3741 0.5708
3.0481 5.3950 3.5294
1.5241 1.1894 5.2321
1.5241 -1.1894 1.7440
3.0481 2.6424 0.0413
3.0481 -2.6424 6.9348
4.5722 1.1894 5.2321
4.5722 -1.1894 1.7440
3.0481 -5.3950 3.4467
0.0000 0.0000 3.4880
1.5241 3.8344 5.2321
1.5241 -3.8344 1.7440
3.0481 0.0000 0.0000
4.5722 3.8344 5.2321
4.5722 -3.8344 1.7440
```

Total energy   -5.41 eV/atom
Energy of formation from the pure elements   -0.453 eV/atom
Density of states at the Fermi level   0.5944 states/eV/atom



The following is a DFT calculation (PBE) of a relaxed structure of Pm2NiSn2.

Geometry as POSCAR:
```
Pm2NiSn2
1.0
5.5937 -2.2623 0.0000
5.5937 2.2623 0.0000
-5.1545 0.0000 9.8611
Pm Ni Sn
4 2 4
Cartesian
-1.7080 0.0000 3.2840
1.4851 0.0000 1.1465
4.5479 0.0000 8.7147
7.7410 0.0000 6.5771
-0.2455 0.0000 6.5149
6.2785 0.0000 3.3462
1.5003 0.0000 4.3480
4.7170 0.0000 1.2169
1.3159 0.0000 8.6443
4.5327 0.0000 5.5132
```

Total energy   -5.34 eV/atom
Energy of formation from the pure elements   -0.681 eV/atom
Density of states at the Fermi level   0.8196 states/eV/atom



The following is a DFT calculation (PBE) of a relaxed structure of Pm2Ni2Sn3.

Geometry as POSCAR:
```
Pm2Ni2Sn3
1.0
5.3719 -2.1145 0.0000
5.3719 2.1145 0.0000
-3.0440 0.0000 6.7710
Pm Ni Sn
2 2 3
Cartesian
0.6973 0.0000 1.9956
7.0024 0.0000 4.7754
-0.6652 0.0000 4.9528
8.3649 0.0000 1.8182
3.8720 0.0000 0.3439
3.8499 0.0000 3.3855
3.8277 0.0000 6.4270
```

Total energy   -5.24 eV/atom
Energy of formation from the pure elements   -0.513 eV/atom
Energy relative to the lowest polymorph listed for this composition   0.057 eV per atom
Density of states at the Fermi level   0.8278 states/eV/atom



The following is a DFT calculation (PBE) of a relaxed structure of Pm5Ni2Sn5.

Geometry as POSCAR:
```
Pm5Ni2Sn5
1.0
6.0380 -2.2915 0.0000
6.0380 2.2915 0.0000
-3.9930 0.0000 11.2406
Pm Ni Sn
5 2 5
Cartesian
0.0000 0.0000 0.0000
2.0772 0.0000 5.7025
3.7105 0.0000 2.6160
4.3726 0.0000 8.6246
6.0059 0.0000 5.5382
0.4788 0.0000 8.0548
7.6043 0.0000 3.1858
-1.9965 0.0000 5.6203
0.2549 0.0000 3.1168
-0.2270 0.0000 10.5609
8.3101 0.0000 0.6797
7.8282 0.0000 8.1238
```

Total energy   -5.13 eV/atom
Energy of formation from the pure elements   -0.521 eV/atom
Energy relative to the lowest polymorph listed for this composition   0.131 eV per atom
Density of states at the Fermi level   0.4855 states/eV/atom



The following is a DFT calculation (PBE) of a relaxed structure of Pm5NiSn4.

Geometry as POSCAR:
```
Pm5NiSn4
1.0
-4.8997 4.8997 3.1629
4.8997 -4.8997 3.1629
4.8997 4.8997 -3.1629
Pm Ni Sn
5 1 4
Cartesian
0.0000 0.0000 0.0000
5.8467 2.2189 -0.4633
2.2189 3.9527 -0.4633
2.6808 0.9470 2.6996
-0.9470 2.6808 2.6996
0.0000 0.0000 3.1004
3.0001 0.8310 -0.4821
4.0687 -1.8996 2.6808
0.8310 6.7993 -0.4821
1.8996 4.0687 2.6808
```

Total energy   -4.98 eV/atom
Energy of formation from the pure elements   -0.421 eV/atom
Density of states at the Fermi level   0.8034 states/eV/atom



The following is a DFT calculation (PBE) of a relaxed structure of Pm5NiSn6.

Geometry as POSCAR:
```
Pm5NiSn6
1.0
3.1441 -7.2151 0.0000
3.1441 7.2151 0.0000
-2.6027 0.0000 7.2962
Pm Ni Sn
5 1 6
Cartesian
0.0000 0.0000 0.0000
3.1441 2.9378 0.0000
1.8427 2.1128 3.6481
1.8427 -2.1128 3.6481
3.1441 -2.9378 0.0000
-1.3013 0.0000 3.6481
2.1355 5.0517 2.1704
1.5500 5.0517 5.1257
0.6489 0.0000 5.7342
3.0366 0.0000 1.5620
2.1355 -5.0517 2.1704
1.5500 -5.0517 5.1257
```

Total energy   -5.05 eV/atom
Energy of formation from the pure elements   -0.590 eV/atom
Density of states at the Fermi level   0.7232 states/eV/atom



The following is a DFT calculation (PBE) of a relaxed structure of Pm5Ni2Sn12.

Geometry as POSCAR:
```
Pm5Ni2Sn12
1.0
8.0465 -3.6638 0.0000
8.0465 3.6638 0.0000
-6.6182 0.0000 9.2416
Pm Ni Sn
5 2 12
Cartesian
0.0000 0.0000 0.0000
1.7073 0.0000 4.1697
6.0252 0.0000 0.2651
3.4496 0.0000 8.9765
7.7675 0.0000 5.0719
4.7374 2.2934 4.6208
4.7374 -2.2934 4.6208
-1.8003 0.0000 2.8881
3.5140 2.1012 2.1516
1.0229 1.4891 6.9845
5.9609 2.1012 7.0900
8.4519 1.4891 2.2572
5.2650 0.0000 3.2557
4.2099 0.0000 5.9859
1.0229 -1.4891 6.9845
3.5140 -2.1012 2.1516
8.4519 -1.4891 2.2572
5.9609 -2.1012 7.0900
11.2751 0.0000 6.3535
```

Total energy   -4.65 eV/atom
Energy of formation from the pure elements   -0.267 eV/atom
Density of states at the Fermi level   0.5893 states/eV/atom



The following is a DFT calculation (PBE) of a relaxed structure of PmNiSn4.

Geometry as POSCAR:
```
PmNiSn4
1.0
2.2202 -14.6287 0.0000
2.2202 14.6287 0.0000
0.0000 0.0000 4.5050
Pm Ni Sn
2 2 8
Cartesian
2.2202 9.0340 0.0000
2.2202 -9.0340 0.0000
2.2202 1.4855 2.2525
2.2202 -1.4855 2.2525
0.0000 0.0000 2.2525
2.2202 11.5127 2.2525
2.2202 6.3136 2.2525
2.2202 3.0994 0.0000
2.2202 0.0000 0.0000
2.2202 -3.0994 0.0000
2.2202 -6.3136 2.2525
2.2202 -11.5127 2.2525
```

Total energy   -4.81 eV/atom
Energy of formation from the pure elements   -0.384 eV/atom
Density of states at the Fermi level   0.4076 states/eV/atom